TbBeO3 | OQMD via LeMat-Bulk | PBE | optimized geometry; E = -142.779 eV/cell
1.0
5.2573 0.0000 0.0000
0.0000 7.1058 0.0000
0.0000 0.0000 4.9680
Tb Be O
4 4 12
Direct
0.0541 0.2500 0.0154
0.4459 0.7500 0.5154
0.5541 0.2500 0.4846
0.9459 0.7500 0.9846
0.0000 0.0000 0.5000
0.0000 0.5000 0.5000
0.5000 0.0000 0.0000
0.5000 0.5000 0.0000
0.0033 0.7500 0.4468
0.2254 0.5288 0.7969
0.2254 0.9712 0.7969
0.2746 0.0288 0.2969
0.2746 0.4712 0.2969
0.4967 0.2500 0.9468
0.5033 0.7500 0.0532
0.7254 0.5288 0.7031
0.7254 0.9712 0.7031
0.7746 0.0288 0.2031
0.7746 0.4712 0.2031
0.9967 0.2500 0.5532



GdH18I3O9 | OQMD via LeMat-Bulk | PBE | optimized geometry; E = -297.801 eV/cell
1.0
7.3936 0.0000 0.0000
0.0000 11.2891 0.0000
0.0000 0.0000 8.6128
Gd H I O
2 36 6 18
Direct
0.2500 0.2500 0.1584
0.7500 0.7500 0.8416
0.0413 0.6801 0.6119
0.0413 0.8199 0.6119
0.0508 0.6483 0.0326
0.0508 0.8517 0.0326
0.0519 0.5735 0.8764
0.0519 0.9265 0.8764
0.2500 0.0499 0.4032
0.2500 0.1796 0.8065
0.2500 0.3204 0.8065
0.2500 0.4501 0.4032
0.2500 0.5220 0.2482
0.2500 0.9780 0.2482
0.4481 0.5735 0.8764
0.4481 0.9265 0.8764
0.4492 0.6483 0.0326
0.4492 0.8517 0.0326
0.4587 0.6801 0.6119
0.4587 0.8199 0.6119
0.5413 0.1801 0.3881
0.5413 0.3199 0.3881
0.5508 0.1483 0.9674
0.5508 0.3517 0.9674
0.5519 0.0735 0.1236
0.5519 0.4265 0.1236
0.7500 0.0220 0.7518
0.7500 0.4780 0.7518
0.7500 0.5499 0.5968
0.7500 0.6796 0.1935
0.7500 0.8204 0.1935
0.7500 0.9501 0.5968
0.9481 0.0735 0.1236
0.9481 0.4265 0.1236
0.9492 0.1483 0.9674
0.9492 0.3517 0.9674
0.9587 0.1801 0.3881
0.9587 0.3199 0.3881
0.2500 0.5054 0.6644
0.2500 0.7500 0.2294
0.2500 0.9946 0.6644
0.7500 0.0054 0.3356
0.7500 0.2500 0.7706
0.7500 0.4946 0.3356
0.0267 0.1195 0.0530
0.0267 0.3805 0.0530
0.0374 0.2500 0.3744
0.2500 0.0595 0.2887
0.2500 0.2500 0.8745
0.2500 0.4405 0.2887
0.4626 0.2500 0.3744
0.4733 0.1195 0.0530
0.4733 0.3805 0.0530
0.5267 0.6195 0.9470
0.5267 0.8805 0.9470
0.5374 0.7500 0.6256
0.7500 0.5595 0.7113
0.7500 0.7500 0.1255
0.7500 0.9405 0.7113
0.9626 0.7500 0.6256
0.9733 0.6195 0.9470
0.9733 0.8805 0.9470